Record 1
The following is a DFT calculation (PBE) of a relaxed K2Si crystal.

CIF file:
```
data_K2Si
_chemical_formula_sum 'K4 Si2'
_space_group_name_H-M_alt 'I 4/m m m'
_space_group_IT_number 139
_space_group_name_Hall '-I 4 2'
_cell_length_a 4.233
_cell_length_b 4.233
_cell_length_c 12.235
_cell_angle_alpha 90.00
_cell_angle_beta 90.00
_cell_angle_gamma 90.00
loop_
_atom_site_label
_atom_site_type_symbol
_atom_site_fract_x
_atom_site_fract_y
_atom_site_fract_z
_atom_site_occupancy
K1 K 0.000 0.000 0.144 1
Si1 Si 0.000 0.000 0.500 1
```

Output
**VASP energy**: -2.110 eV per atom
**D(E_F)**: 3.2 states/eV/f.u.
**Energy above the most stable polymorph in this dataset**: 387 meV/atom
**Magnetization**: 0.5 Bohr magnetons per cell

***

Record 2
The following is a DFT calculation (PBE) of a relaxed K15Si92 crystal.

CIF file:
```
data_K15Si92
_chemical_formula_sum 'K15 Si92'
_space_group_name_H-M_alt 'P m m m'
_space_group_IT_number 47
_space_group_name_Hall '-P 2 2'
_cell_length_a 10.339
_cell_length_b 10.339
_cell_length_c 20.626
_cell_angle_alpha 90.00
_cell_angle_beta 90.00
_cell_angle_gamma 90.00
loop_
_atom_site_label
_atom_site_type_symbol
_atom_site_fract_x
_atom_site_fract_y
_atom_site_fract_z
_atom_site_occupancy
K1 K 0.000 0.000 0.000 1
K2 K 0.000 0.249 0.251 1
K3 K 0.251 0.500 0.000 1
K4 K 0.251 0.500 0.500 1
K5 K 0.500 0.000 0.125 1
K6 K 0.500 0.000 0.375 1
K7 K 0.500 0.500 0.251 1
Si1 Si 0.000 0.305 0.441 1
Si2 Si 0.000 0.307 0.059 1
Si3 Si 0.000 0.500 0.125 1
Si4 Si 0.000 0.500 0.376 1
Si5 Si 0.118 0.000 0.348 1
Si6 Si 0.119 0.000 0.154 1
Si7 Si 0.182 0.183 0.408 1
Si8 Si 0.184 0.185 0.093 1
Si9 Si 0.193 0.500 0.191 1
Si10 Si 0.193 0.500 0.310 1
Si11 Si 0.250 0.000 0.251 1
Si12 Si 0.305 0.117 0.500 1
Si13 Si 0.306 0.118 0.000 1
Si14 Si 0.314 0.315 0.344 1
Si15 Si 0.315 0.316 0.158 1
Si16 Si 0.382 0.193 0.251 1
Si17 Si 0.500 0.246 0.500 1
Si18 Si 0.500 0.249 0.000 1
Si19 Si 0.500 0.380 0.404 1
Si20 Si 0.500 0.381 0.097 1
```

Output
**VASP energy**: -4.835 eV per atom
**D(E_F)**: 33.0 states/eV/f.u.
**Magnetization**: 0.0 Bohr magnetons per cell

***

Record 3
The following is a DFT calculation (PBE) of a relaxed K2Si crystal.

CIF file:
```
data_K2Si
_chemical_formula_sum 'K4 Si2'
_space_group_name_H-M_alt 'P -1'
_space_group_IT_number 2
_space_group_name_Hall '-P 1'
_cell_length_a 3.927
_cell_length_b 6.647
_cell_length_c 10.162
_cell_angle_alpha 71.27
_cell_angle_beta 79.48
_cell_angle_gamma 72.98
loop_
_atom_site_label
_atom_site_type_symbol
_atom_site_fract_x
_atom_site_fract_y
_atom_site_fract_z
_atom_site_occupancy
K1 K 0.019 0.121 0.331 1
K2 K 0.320 0.687 0.157 1
Si1 Si 0.286 0.393 0.536 1
```

Output
**VASP energy**: -2.481 eV per atom
**D(E_F)**: 0.7 states/eV/f.u.
**Energy above the most stable polymorph in this dataset**: 16 meV/atom
**Magnetization**: 0.0 Bohr magnetons per cell

***

Record 4
The following is a DFT calculation (PBE) of a relaxed K5Si4 crystal.

CIF file:
```
data_K5Si4
_chemical_formula_sum 'K10 Si8'
_space_group_name_H-M_alt 'I 4/m m m'
_space_group_IT_number 139
_space_group_name_Hall '-I 4 2'
_cell_length_a 10.629
_cell_length_b 10.629
_cell_length_c 5.079
_cell_angle_alpha 90.00
_cell_angle_beta 90.00
_cell_angle_gamma 90.00
loop_
_atom_site_label
_atom_site_type_symbol
_atom_site_fract_x
_atom_site_fract_y
_atom_site_fract_z
_atom_site_occupancy
K1 K 0.000 0.000 0.000 1
K2 K 0.180 0.180 0.500 1
Si1 Si 0.000 0.391 0.000 1
```

Output
**VASP energy**: -2.710 eV per atom
**D(E_F)**: 3.4 states/eV/f.u.
**Magnetization**: 0.8 Bohr magnetons per cell

***

Record 5
The following is a DFT calculation (PBE) of a relaxed KSi3 crystal.

CIF file:
```
data_KSi3
_chemical_formula_sum 'K2 Si6'
_space_group_name_H-M_alt 'P m m n'
_space_group_IT_number 59
_cell_length_a 4.487
_cell_length_b 5.774
_cell_length_c 6.973
_cell_angle_alpha 90.00
_cell_angle_beta 90.00
_cell_angle_gamma 90.00
loop_
_space_group_symop_operation_xyz
'x,y,z'
'-x,-y,-z'
'-x+1/2,-y+1/2,z'
'x+1/2,y+1/2,-z'
'x+1/2,-y,-z'
'-x+1/2,y,z'
'-x,y+1/2,-z'
'x,-y+1/2,z'
loop_
_atom_site_label
_atom_site_type_symbol
_atom_site_fract_x
_atom_site_fract_y
_atom_site_fract_z
_atom_site_occupancy
K1 K 0.250 0.250 0.086 1
Si1 Si 0.250 0.035 0.606 1
Si2 Si 0.250 0.750 0.331 1
```

Output
**VASP energy**: -4.127 eV per atom
**D(E_F)**: 1.0 states/eV/f.u.
**Energy above the most stable polymorph in this dataset**: 46 meV/atom
**Magnetization**: 0.0 Bohr magnetons per cell

***

Record 6
The following is a DFT calculation (PBE) of a relaxed K2Si crystal.

CIF file:
```
data_K2Si
_chemical_formula_sum 'K2 Si1'
_space_group_name_H-M_alt 'P -3 m 1'
_space_group_IT_number 164
_space_group_name_Hall '-P 3 2"'
_cell_length_a 5.7391
_cell_length_b 5.7391
_cell_length_c 3.3098
_cell_angle_alpha 90.00
_cell_angle_beta 90.00
_cell_angle_gamma 120.00
loop_
_atom_site_label
_atom_site_type_symbol
_atom_site_fract_x
_atom_site_fract_y
_atom_site_fract_z
_atom_site_occupancy
K1 K 0.3333 0.6667 0.0047 1
Si1 Si 0.0000 0.0000 0.5000 1
```

Output
**VASP energy**: -2.124 eV per atom
**D(E_F)**: 2.7 states/eV/f.u.
**Energy above the most stable polymorph in this dataset**: 373 meV/atom
**Magnetization**: 0.3 Bohr magnetons per cell

***

Record 7
The following is a DFT calculation (PBE) of a relaxed KSi2 crystal.

CIF file:
```
data_KSi2
_chemical_formula_sum 'K4 Si8'
_space_group_name_H-M_alt 'C 1 2/m 1'
_space_group_IT_number 12
_space_group_name_Hall '-C 2y'
_cell_length_a 14.070
_cell_length_b 3.748
_cell_length_c 6.963
_cell_angle_alpha 90.00
_cell_angle_beta 119.66
_cell_angle_gamma 90.00
loop_
_atom_site_label
_atom_site_type_symbol
_atom_site_fract_x
_atom_site_fract_y
_atom_site_fract_z
_atom_site_occupancy
K1 K 0.166 0.000 0.166 1
Si1 Si 0.001 0.500 0.321 1
Si2 Si 0.103 0.000 0.605 1
```

Output
**VASP energy**: -3.861 eV per atom
**D(E_F)**: 0.5 states/eV/f.u.
**Energy above the most stable polymorph in this dataset**: 91 meV/atom
**Magnetization**: 0.0 Bohr magnetons per cell

***

Record 8
The following is a DFT calculation (PBE) of a relaxed K4Si crystal.

CIF file:
```
data_K4Si
_chemical_formula_sum 'K4 Si1'
_space_group_name_H-M_alt 'P m -3 m'
_space_group_IT_number 221
_space_group_name_Hall '-P 4 2 3'
_cell_length_a 6.645
_cell_length_b 6.645
_cell_length_c 6.645
_cell_angle_alpha 90.00
_cell_angle_beta 90.00
_cell_angle_gamma 90.00
loop_
_atom_site_label
_atom_site_type_symbol
_atom_site_fract_x
_atom_site_fract_y
_atom_site_fract_z
_atom_site_occupancy
K1 K 0.000 0.000 0.000 1
K2 K 0.000 0.500 0.500 1
Si1 Si 0.500 0.500 0.500 1
```

Output
**VASP energy**: -1.700 eV per atom
**D(E_F)**: 4.2 states/eV/f.u.
**Energy above the most stable polymorph in this dataset**: 44 meV/atom
**Magnetization**: 0.6 Bohr magnetons per cell

***

Record 9
The following is a DFT calculation (PBE) of a relaxed KSi3 crystal.

CIF file:
```
data_KSi3
_chemical_formula_sum 'K1 Si3'
_space_group_name_H-M_alt 'P 1 2/m 1'
_space_group_IT_number 10
_space_group_name_Hall '-P 2y'
_cell_length_a 2.915
_cell_length_b 4.529
_cell_length_c 6.654
_cell_angle_alpha 90.00
_cell_angle_beta 98.04
_cell_angle_gamma 90.00
loop_
_atom_site_label
_atom_site_type_symbol
_atom_site_fract_x
_atom_site_fract_y
_atom_site_fract_z
_atom_site_occupancy
K1 K 0.000 0.000 0.000 1
Si1 Si 0.309 0.500 0.652 1
Si2 Si 0.500 0.000 0.500 1
```

Output
**VASP energy**: -4.021 eV per atom
**D(E_F)**: 1.2 states/eV/f.u.
**Energy above the most stable polymorph in this dataset**: 152 meV/atom
**Magnetization**: 0.0 Bohr magnetons per cell

***

Record 10
The following is a DFT calculation (PBE) of a relaxed KSi3 crystal.

CIF file:
```
data_KSi3
_chemical_formula_sum 'K1 Si3'
_space_group_name_H-M_alt 'P 4/m m m'
_space_group_IT_number 123
_space_group_name_Hall '-P 4 2'
_cell_length_a 3.387
_cell_length_b 3.387
_cell_length_c 7.248
_cell_angle_alpha 90.00
_cell_angle_beta 90.00
_cell_angle_gamma 90.00
loop_
_atom_site_label
_atom_site_type_symbol
_atom_site_fract_x
_atom_site_fract_y
_atom_site_fract_z
_atom_site_occupancy
K1 K 0.000 0.000 0.000 1
Si1 Si 0.000 0.000 0.500 1
Si2 Si 0.500 0.500 0.338 1
```

Output
**VASP energy**: -4.123 eV per atom
**D(E_F)**: 1.4 states/eV/f.u.
**Energy above the most stable polymorph in this dataset**: 50 meV/atom
**Magnetization**: 0.0 Bohr magnetons per cell